# 1
Pr2SmTmSc, relaxed, DFT PBE; energy relative to the elements = 0.366 eV/atom; electronic total energy = -46.5 eV/cell
1.0
4.1339 -5.7084 0.0000
4.1339 5.7084 0.0000
0.0000 0.0000 7.2484
Pr Sm Tm Sc
4 2 2 2
Cartesian
1.6534 0.0000 0.0000 Pr
1.6534 0.0000 3.6242 Pr
6.6145 0.0000 0.0000 Pr
6.6145 0.0000 3.6242 Pr
4.1339 3.0911 5.4363 Sm
4.1339 -3.0911 1.8121 Sm
4.1339 2.9636 1.8121 Tm
4.1339 -2.9636 5.4363 Tm
4.1339 0.1075 5.4363 Sc
4.1339 -0.1075 1.8121 Sc


# 2
Ac6GaOs2I3, relaxed, DFT PBE; formation energy (no corrections) = -0.69 eV per atom; electronic total energy = -63.1 eV/cell
1.0
3.8803 -6.7162 0.0000
3.8803 6.7162 0.0000
-2.5951 0.0000 8.5678
Ac Ga Os I
6 1 2 3
Cartesian
-0.1002 2.3988 6.9608 Ac
1.1088 0.0000 1.5997 Ac
-0.1002 -2.3988 6.9608 Ac
5.2657 2.3988 1.6070 Ac
4.0567 0.0000 6.9681 Ac
5.2657 -2.3988 1.6070 Ac
3.8803 0.0000 0.0000 Ga
3.8803 4.4743 0.0000 Os
3.8803 -4.4743 0.0000 Os
-1.2976 0.0000 4.2839 I
2.5827 2.1927 4.2839 I
2.5827 -2.1927 4.2839 I


# 3
Ac6TiO12, relaxed, DFT PBE; formation energy (no corrections) = -3.07 eV per atom; electronic total energy = -150.3 eV/cell
1.0
5.3377 3.0817 3.4071
-5.3377 3.0817 3.4071
0.0000 -6.1635 3.4071
Ac Ti O
6 1 12
Cartesian
-3.6611 -1.1847 5.2229 Ac
-0.8046 -3.7630 4.9985 Ac
-2.8566 2.5783 4.9985 Ac
2.8566 -2.5783 5.2229 Ac
0.8045 3.7630 5.2229 Ac
3.6611 1.1847 4.9985 Ac
0.0000 0.0000 5.1107 Ti
-4.5569 0.9581 4.3604 O
-3.1082 -3.4673 5.8610 O
-1.1762 -1.2915 4.0563 O
1.4487 -4.4254 4.3604 O
-0.5304 1.6644 4.0563 O
-1.7066 0.3729 6.1651 O
1.7066 -0.3729 4.0563 O
0.5304 -1.6644 6.1651 O
-1.4487 4.4254 5.8610 O
1.1762 1.2915 6.1651 O
3.1082 3.4673 4.3604 O
4.5569 -0.9581 5.8610 O


# 4
BaLi3S, relaxed, DFT PBE; formation energy (no corrections) = -0.44 eV per atom; electronic total energy = -14.0 eV/cell
1.0
4.9516 0.0000 0.0000
0.0000 4.9516 0.0000
0.0000 0.0000 4.9516
Ba Li S
1 3 1
Cartesian
0.0000 0.0000 0.0000 Ba
0.0000 2.4758 2.4758 Li
2.4758 0.0000 2.4758 Li
2.4758 2.4758 0.0000 Li
2.4758 2.4758 2.4758 S


# 5
La8Tb2Tm, relaxed, DFT PBE; energy relative to the elements = 0.020 eV/atom; electronic total energy = -52.9 eV/cell
1.0
9.3547 -2.6100 0.0000
9.3547 2.6100 0.0000
-2.1537 0.0000 7.9446
La Tb Tm
8 2 1
Cartesian
0.3839 0.0000 1.8109 La
1.0863 0.0000 5.4354 La
4.6994 0.0000 4.6712 La
7.5427 0.0000 0.3772 La
9.0130 0.0000 7.5674 La
11.8563 0.0000 3.2734 La
15.4694 0.0000 2.5092 La
16.1719 0.0000 6.1337 La
3.9456 0.0000 1.0703 Tb
12.6101 0.0000 6.8743 Tb
8.2779 0.0000 3.9723 Tm


# 6
TbDyHf2N4, relaxed, DFT PBE; formation energy (no corrections) = -1.78 eV per atom; electronic total energy = -76.7 eV/cell
1.0
5.7291 0.0000 0.0000
0.0000 3.3134 0.0000
-1.9193 0.0000 5.5045
Tb Dy Hf N
1 1 2 4
Cartesian
0.0000 0.0000 0.0000 Tb
2.8646 1.6567 0.0000 Dy
-0.9597 1.6567 2.7522 Hf
1.9049 0.0000 2.7522 Hf
-0.0010 0.0000 3.9846 N
0.9559 1.6567 1.5244 N
2.8539 1.6567 3.9800 N
3.8108 0.0000 1.5199 N